(1)
This record from Alexandria via LeMat-Bulk describes a relaxed structure of CoNiI3. The functional is GGA-PBE.

* ΔE_f (raw): 0.749 eV/atom
* SG: No. 221
* raw total energy: -0.1014 hartree per atom

The structure in POSCAR format:
```
CoNiI3
1.0
-0.9598 -2.6792 -4.4594
-0.2463 -4.5061 2.7603
-5.1965 0.7084 0.6928
Co Ni I
1 1 3
Direct
0.5000 0.5000 0.5000
0.0000 0.0000 0.0000
0.5000 0.0000 0.0000
0.0000 0.0000 0.5000
0.0000 0.5000 0.0000
```

---

(2)
This record from Alexandria via LeMat-Bulk describes a relaxed structure of LuMgIn. The functional is GGA-PBE.

* energy relative to the elements: -279 meV/atom
* SG: No. 156
* raw total energy: -0.1187 hartree per atom

The structure in POSCAR format:
```
LuMgIn
1.0
3.4586 0.0000 0.0000
0.0000 4.9452 0.0000
0.0000 -2.4726 4.2827
Mg Lu In
1 1 1
Direct
0.1679 0.0000 0.0000
0.6666 0.6667 0.3333
0.1655 0.3333 0.6667
```

---

Calculated total magnetization, 2.67 0.00 μB/cell (same order as the records).